No. 1
ZrSnPtRh: optimized geometry, PBE.

Output
E_form ... -0.742 eV/atom
Theoretical density ... 11.82 g cm⁻³

a b c (Å): 4.2832 4.2832 4.9307
angles (deg): 115.75 115.74 90.00
Fractional positions:
Zr1 0.2500 0.7500 0.5000
Sn1 0.7500 0.2500 0.5000
Pt1 0.0000 0.0000 0.0000
Rh1 0.5000 0.5000 0.0000

No. 2
Zr2SnPtRh5: optimized geometry, PBE.

Output
E_form ... -0.106 eV/atom
Theoretical density ... 10.26 g cm⁻³

a b c (Å): 7.7486 7.7486 7.7268
angles (deg): 120.09 120.09 90.00
Fractional positions:
Zr1 0.1242 0.3758 0.0000
Zr2 0.6242 0.1242 0.0000
Zr3 0.3758 0.8758 0.0000
Zr4 0.8758 0.6242 0.0000
Sn1 0.2500 0.2500 0.5000
Sn2 0.7500 0.7500 0.5000
Pt1 0.2500 0.7500 0.5000
Pt2 0.7500 0.2500 0.5000
Rh1 0.9319 0.4319 0.2659
Rh2 0.6660 0.1660 0.7341
Rh3 0.0681 0.5681 0.7341
Rh4 0.1660 0.0681 0.7341
Rh5 0.5681 0.6660 0.7341
Rh6 0.8340 0.9319 0.2659
Rh7 0.4319 0.3340 0.2659
Rh8 0.3340 0.8340 0.2659
Rh9 0.5000 0.5000 0.0000
Rh10 0.0000 0.0000 0.0000

No. 3
Sr2PtRh: optimized geometry, PBE.

Output
E_form ... -0.370 eV/atom
Theoretical density ... 8.08 g cm⁻³

a b c (Å): 3.7159 3.7572 7.9123
angles (deg): 61.67 90.00 90.00
Fractional positions:
Pt1 0.5000 0.2500 0.2500
Rh1 0.5000 0.7500 0.7500
Sr1 0.0000 0.9987 0.0009
Sr2 0.0000 0.5013 0.4991

No. 4
SrPt2Rh: optimized geometry, PBE.

Output
E_form ... -0.044 eV/atom
Theoretical density ... 12.20 g cm⁻³

a b c (Å): 3.3449 3.3449 7.0617
angles (deg): 90.00 90.00 89.99
Fractional positions:
Pt1 0.0000 0.0000 0.0496
Pt2 0.5000 0.5000 0.2632
Rh1 0.0000 0.0000 0.4358
Sr1 0.5000 0.5000 0.7514

No. 5
SrPt2Rh: optimized geometry, PBE.

Output
E_form ... -0.152 eV/atom
Theoretical density ... 12.77 g cm⁻³

a b c (Å): 4.7623 2.9261 5.4181
angles (deg): 89.93 90.00 90.00
Fractional positions:
Pt1 0.0000 0.1252 0.9893
Pt2 0.5000 0.1252 0.3125
Rh1 0.0000 0.6241 0.4020
Sr1 0.5000 0.6255 0.7962

No. 6
SrPtRh2: optimized geometry, PBE.

Output
E_form ... 0.014 eV/atom
Theoretical density ... 10.73 g cm⁻³

a b c (Å): 4.4357 2.8867 6.0712
angles (deg): 76.53 90.00 90.00
Last column: magnetic moment on the atom in μB.
Fractional positions:
Pt1 0.5000 0.9228 0.7740  0.03
Rh1 0.0000 0.7971 0.0368  0.02
Rh2 0.5000 0.2335 0.1655  0.09
Sr1 0.0000 0.5467 0.5237  0.00